## ZnFe2P (PBE)

Data for a geometry-optimized ZnFe2P structure.

Computed properties:
- DOS at the Fermi energy (states/eV/cell) = 2.08
- magnetization (μB per formula unit) = 4.411
- uncorrected energy (eV per atom) = -5.723

abc: 4.112 4.112 4.112
angles: 60.00 60.00 60.00
Site moments in Bohr magnetons follow the coordinates.
Positions (direct):
Fe (0.000, 0.000, 0.000)  2.49
Zn (0.750, 0.750, 0.750)  -0.04
P (0.500, 0.500, 0.500)  0.03
Fe (0.250, 0.250, 0.250)  1.98

=====

## AcZnH2O4 (PBE)

Data for a geometry-optimized AcZnH2O4 structure.

Computed properties:
- DOS at the Fermi energy (states/eV/cell) = 2.06
- magnetization (μB per formula unit) = 1.035
- uncorrected energy (eV per atom) = -5.618

abc: 4.758 4.996 4.996
angles: 70.96 61.56 61.56
Site moments in Bohr magnetons follow the coordinates.
Positions (direct):
O (0.395, 0.195, 0.438)  0.20
Zn (0.500, 0.500, 0.500)  0.10
O (0.972, 0.438, 0.195)  0.20
H (0.178, 0.322, 0.322)  0.00
Ac (0.000, 0.000, 0.000)  0.00
O (0.605, 0.562, 0.805)  0.20
H (0.822, 0.678, 0.678)  0.00
O (0.028, 0.805, 0.562)  0.20

=====

## BaMnW2 (PBE)

Data for a geometry-optimized BaMnW2 structure.

Computed properties:
- distance to the lowest polymorph of the same formula (eV/f.u.) = 2.73
- DOS at the Fermi energy (states/eV/cell) = 5.08
- magnetization (μB per formula unit) = 3.120

abc: 3.036 4.796 5.494
angles: 90.00 90.00 90.00
Site moments in Bohr magnetons follow the coordinates.
Positions (direct):
W (0.000, 0.000, 0.000)  0.05
W (0.500, 0.500, 0.000)  -0.18
Ba (0.500, 0.000, 0.500)  -0.06
Mn (0.000, 0.500, 0.500)  3.28

=====

## Hf2TaAl6 (PBE)

Data for a geometry-optimized Hf2TaAl6 structure.

Computed properties:
- DOS at the Fermi energy (states/eV/cell) = 3.26
- magnetization (μB per formula unit) = 0.000
- uncorrected energy (eV per atom) = -6.201

abc: 6.347 5.529 5.529
angles: 59.52 101.19 101.19
Positions (direct):
Al (0.288, 0.852, 0.852)
Al (0.652, 0.620, 0.139)
Hf (0.857, 0.655, 0.655)
Al (0.348, 0.380, 0.861)
Hf (0.143, 0.345, 0.345)
Al (0.652, 0.139, 0.620)
Ta (0.000, 0.000, 0.000)
Al (0.348, 0.861, 0.380)
Al (0.712, 0.148, 0.148)